This record from Alexandria describes a geometry-optimized Rb2BaRu structure. The functional is PBE.

## Properties
Relative energy among the computed polymorphs = 290 meV per atom
Total moment = 0.000 μB per cell
DFT formation energy = 1.432 eV/atom
V = 58.69 Å³ per atom

```
data_Rb2BaRu
_chemical_formula_sum 'Rb4 Ba2 Ru2'
_cell_length_a 8.852
_cell_length_b 8.852
_cell_length_c 8.852
_cell_angle_alpha 122.61
_cell_angle_beta 122.61
_cell_angle_gamma 85.54
_symmetry_space_group_name_H-M 'P 1'
_symmetry_Int_Tables_number 1
loop_
_symmetry_equiv_pos_as_xyz
'x,y,z'
loop_
_atom_site_label
_atom_site_type_symbol
_atom_site_fract_x
_atom_site_fract_y
_atom_site_fract_z
_atom_site_occupancy
Rb1 Rb 0.000 0.000 0.000 1
Rb2 Rb 0.000 0.000 0.500 1
Rb3 Rb 0.000 0.500 0.000 1
Rb4 Rb 0.500 0.000 0.500 1
Ba1 Ba 0.375 0.625 0.750 1
Ba2 Ba 0.625 0.375 0.250 1
Ru1 Ru 0.125 0.875 0.250 1
Ru2 Ru 0.875 0.125 0.750 1
```